DFT (GGA+U) results for a relaxed structure of CrPBrO2.

Unit cell a=3.7020 b=3.7020 c=5.4779 alpha=90.00 beta=90.00 gamma=90.00
Atoms (fractional coordinates):
Cr  0.0000  0.0000  0.0000
P  0.0000  0.0000  0.5000
Br  0.5000  0.5000  0.5000
O  0.0000  0.5000  0.0000
O  0.5000  0.0000  0.0000

Results
E_tot: -5.274 eV per atom
Magnetic moment: 1.36 μB per cell
SG: No. 123
DOS at the Fermi energy: 0.462 states/eV/atom